{"formula": "ScSi2W", "functional": "PBE", "state": "relaxed", "e_form_raw_kj_per_mol_atoms": -13.6, "de_polymorph_ev_per_atom": 0.244, "sg": "C2/m", "crystal_system": "monoclinic", "e_tot_ev_per_atom": -7.6731, "lattice": [[2.8990, -3.7750, 0.0000], [2.8990, 3.7750, 0.0000], [-0.7271, 0.0000, 2.8764]], "species": ["Sc", "Si", "Si", "W"], "frac_coords": [[0.0000, 0.0000, 0.0000], [0.0000, 0.5000, 0.5000], [0.5000, 0.0000, 0.5000], [0.5000, 0.5000, 0.0000]]}